This record from Alexandria via LeMat-Bulk describes LaMgAl after structural relaxation. The functional is PBE-GGA.

```
LaMgAl
1.0
-4.248 -2.145 -0.350
0.887 -2.369 3.755
-4.985 3.957 3.675
Al La Mg
2 2 2
direct
0.500 0.750 0.008 Al
0.861 0.750 0.286 Al
0.333 0.250 0.340 La
0.675 0.250 0.658 La
0.999 0.250 0.010 Mg
0.141 0.750 0.727 Mg
```

Values from the calculation:
**Density**: 4.21 g/cm³
**Formation energy from the elements**: -54 kJ/mol of formula units

This record from Alexandria via LeMat-Bulk describes LaMgAl after structural relaxation. The functional is PBE-GGA.

```
LaMgAl
1.0
0.000 3.635 3.635
3.635 0.000 3.635
3.635 3.635 0.000
Al Mg La
1 1 1
direct
0.250 0.250 0.250 Al
0.750 0.750 0.750 Mg
0.500 0.500 0.500 La
```

Values from the calculation:
**Density**: 3.29 g/cm³
**Formation energy from the elements**: 110 kJ/mol of formula units

This record from Alexandria via LeMat-Bulk describes La3MgAl8 after structural relaxation. The functional is PBE-GGA.

```
La3MgAl8
1.0
5.676 0.000 0.000
2.838 4.916 0.000
2.838 1.639 9.342
Al La Mg
8 3 1
direct
0.938 0.436 0.189 Al
0.436 0.938 0.189 Al
0.939 0.438 0.685 Al
0.939 0.939 0.685 Al
0.188 0.188 0.437 Al
0.687 0.687 0.938 Al
0.438 0.939 0.685 Al
0.436 0.436 0.189 Al
0.374 0.374 0.879 La
0.502 0.502 0.493 La
0.997 0.997 0.009 La
0.875 0.875 0.374 Mg
```

Values from the calculation:
**Density**: 4.18 g/cm³
**Formation energy from the elements**: -431 kJ/mol of formula units